No. 1
The following is a DFT calculation (PBE) of LiDy3Rh after structural relaxation.

Cell: 5.392 5.392 5.392 Å, 90.00 90.00 90.00°
Fractional positions:
Li (0.000, 0.000, 0.000)
Dy (0.000, 0.500, 0.500)
Dy (0.500, 0.000, 0.500)
Dy (0.500, 0.500, 0.000)
Rh (0.500, 0.500, 0.500)

Calculated values
For the energy of formation, the calculation gives -0.21 eV per atom. As for the excess energy over the best structure of this formula in the dataset: 0.121 eV/atom.

No. 2
The following is a DFT calculation (PBE) of SrSiAg3 after structural relaxation.

Cell: 6.150 6.145 4.646 Å, 67.85 67.74 44.40°
Fractional positions:
Sr (0.000, 0.000, 0.000)
Si (0.640, 0.640, 0.360)
Ag (0.238, 0.238, 0.262)
Ag (0.399, 0.399, 0.601)
Ag (0.738, 0.738, 0.762)

Calculated values
As for the excess energy over the best structure of this formula in the dataset: 0.000 eV/atom.

No. 3
The following is a DFT calculation (PBE) of Tl3ReBr after structural relaxation.

Cell: 5.376 5.376 5.376 Å, 90.00 90.00 90.00°
Fractional positions:
Tl (0.000, 0.000, 0.500)
Tl (0.000, 0.500, 0.000)
Tl (0.500, 0.000, 0.000)
Re (0.000, 0.000, 0.000)
Br (0.500, 0.500, 0.500)

Calculated values
As for the excess energy over the best structure of this formula in the dataset: 0.000 eV/atom.

No. 4
The following is a DFT calculation (PBE) of Ca2CoRh2 after structural relaxation.

Cell: 6.544 6.544 4.542 Å, 90.00 90.00 90.00°
Fractional positions:
Ca (0.176, 0.324, 0.000)
Ca (0.324, 0.824, 0.000)
Ca (0.676, 0.176, 0.000)
Ca (0.824, 0.676, 0.000)
Co (0.000, 0.000, 0.500)
Co (0.500, 0.500, 0.500)
Rh (0.141, 0.641, 0.500)
Rh (0.359, 0.141, 0.500)
Rh (0.641, 0.859, 0.500)
Rh (0.859, 0.359, 0.500)

Calculated values
For the energy of formation, the calculation gives -0.14 eV per atom.

No. 5
The following is a DFT calculation (PBE) of TiGaP2 after structural relaxation.

Cell: 6.719 6.719 6.719 Å, 130.16 130.16 73.16°
Fractional positions:
Ti (0.000, 0.000, 0.000)
Ti (0.750, 0.250, 0.500)
Ga (0.250, 0.750, 0.500)
Ga (0.500, 0.500, 0.000)
P (0.128, 0.625, 0.003)
P (0.375, 0.378, 0.503)
P (0.622, 0.125, 0.997)
P (0.875, 0.872, 0.497)

Calculated values
For the energy of formation, the calculation gives -0.34 eV per atom. As for the excess energy over the best structure of this formula in the dataset: 0.000 eV/atom.

No. 6
The following is a DFT calculation (PBE) of LiAg4Au7 after structural relaxation.

Cell: 5.736 5.736 10.375 Å, 116.49 116.49 51.10°
Fractional positions:
Li (0.000, 0.000, 0.000)
Ag (0.270, 0.270, 0.689)
Ag (0.412, 0.412, 0.226)
Ag (0.588, 0.588, 0.774)
Ag (0.730, 0.730, 0.311)
Au (0.045, 0.045, 0.372)
Au (0.202, 0.202, 0.919)
Au (0.350, 0.350, 0.464)
Au (0.500, 0.500, 0.000)
Au (0.650, 0.650, 0.536)
Au (0.798, 0.798, 0.081)
Au (0.955, 0.955, 0.628)

Calculated values
For the energy of formation, the calculation gives -0.01 eV per atom. As for the excess energy over the best structure of this formula in the dataset: 0.060 eV/atom.

No. 7
The following is a DFT calculation (PBE) of SrThTe2 after structural relaxation.

Cell: 3.937 3.937 7.945 Å, 90.00 90.00 90.00°
Fractional positions:
Sr (0.000, 0.000, 0.000)
Th (0.000, 0.000, 0.500)
Te (0.500, 0.500, 0.269)
Te (0.500, 0.500, 0.731)

Calculated values
As for the excess energy over the best structure of this formula in the dataset: 0.036 eV/atom.

No. 8
The following is a DFT calculation (PBE) of RbTeS4 after structural relaxation.

Cell: 8.400 8.400 8.294 Å, 108.93 108.93 48.49°
Fractional positions:
Rb (0.215, 0.215, 0.244)
Rb (0.785, 0.785, 0.756)
Te (0.455, 0.455, 0.766)
Te (0.545, 0.545, 0.234)
S (0.136, 0.734, 0.497)
S (0.243, 0.757, 0.000)
S (0.266, 0.864, 0.503)
S (0.294, 0.294, 0.696)
S (0.706, 0.706, 0.304)
S (0.734, 0.136, 0.497)
S (0.757, 0.243, 0.000)
S (0.864, 0.266, 0.503)

Calculated values
As for the excess energy over the best structure of this formula in the dataset: 0.000 eV/atom.